[1]
# GGA-PBE Ca5LaPt6, optimized geometry
# formation enthalpy at 0 K	-0.94	eV per atom
# crystal system	orthorhombic
# total magnetization	0.000	μB/cell
data_Ca5LaPt6
_space_group_name_H-M_alt 'C m m m'
_space_group_IT_number 65
_space_group_name_Hall '-C 2 2'
_cell_length_a 4.9799
_cell_length_b 14.8816
_cell_length_c 7.1081
_cell_angle_alpha 90.00
_cell_angle_beta 90.00
_cell_angle_gamma 90.00
loop_
_atom_site_label
_atom_site_type_symbol
_atom_site_fract_x
_atom_site_fract_y
_atom_site_fract_z
Ca1 Ca 0.0000 0.0000 0.0000
Ca2 Ca 0.0000 0.3289 0.5000
Ca3 Ca 0.0000 0.3331 0.0000
La1 La 0.0000 0.0000 0.5000
Pt1 Pt 0.0000 0.1646 0.2487
Pt2 Pt 0.0000 0.5000 0.2533

[2]
# GGA-PBE Ca3La2Pt2, optimized geometry
# formation enthalpy at 0 K	-0.68	eV per atom
# crystal system	monoclinic
# total magnetization	0.000	μB/cell
data_Ca3La2Pt2
_space_group_name_H-M_alt 'C 1 2/m 1'
_space_group_IT_number 12
_space_group_name_Hall '-C 2y'
_cell_length_a 13.0203
_cell_length_b 4.0792
_cell_length_c 8.7772
_cell_angle_alpha 90.00
_cell_angle_beta 111.52
_cell_angle_gamma 90.00
loop_
_atom_site_label
_atom_site_type_symbol
_atom_site_fract_x
_atom_site_fract_y
_atom_site_fract_z
Ca1 Ca 0.0000 0.0000 0.0000
Ca2 Ca 0.1277 0.0000 0.4249
La1 La 0.1665 0.5000 0.8139
Pt1 Pt 0.1817 0.5000 0.1950

[3]
# GGA-PBE CaLa2Pt2, optimized geometry
# E above lowest polymorph	0.2262	eV per atom
# formation enthalpy at 0 K	-0.75	eV per atom
# crystal system	tetragonal
# total magnetization	0.000	μB/cell
data_CaLa2Pt2
_space_group_name_H-M_alt 'P 4/m b m'
_space_group_IT_number 127
_space_group_name_Hall '-P 4 2ab'
_cell_length_a 8.5973
_cell_length_b 8.5973
_cell_length_c 3.5048
_cell_angle_alpha 90.00
_cell_angle_beta 90.00
_cell_angle_gamma 90.00
loop_
_atom_site_label
_atom_site_type_symbol
_atom_site_fract_x
_atom_site_fract_y
_atom_site_fract_z
Ca1 Ca 0.0000 0.0000 0.0000
La1 La 0.1399 0.3601 0.0000
Pt1 Pt 0.1630 0.6630 0.5000